Record 1
# Cs2NaMnBr6 (GGA-PBE, relaxed)
# **Formation energy from raw total energies**: -1.32 eV/atom
# **E above lowest polymorph**: 0.0 meV/atom
# **Crystal system**: trigonal
data_Cs2NaMnBr6
_chemical_formula_sum 'Cs2 Na1 Mn1 Br6'
_cell_length_a 7.7241
_cell_length_b 7.7241
_cell_length_c 7.0763
_cell_angle_alpha 90.00
_cell_angle_beta 90.00
_cell_angle_gamma 120.00
_symmetry_space_group_name_H-M 'P -3 m 1'
_symmetry_Int_Tables_number 164
_symmetry_space_group_name_Hall '-P 3 2"'
loop_
_atom_site_label
_atom_site_type_symbol
_atom_site_fract_x
_atom_site_fract_y
_atom_site_fract_z
Cs1 Cs 0.3333 0.6667 0.2090
Na1 Na 0.0000 0.0000 0.5000
Mn1 Mn 0.0000 0.0000 0.0000
Br1 Br 0.1580 0.3160 0.7883

***

Record 2
# Sm6Co2AuCl3 (GGA-PBE, relaxed)
# **Formation energy from raw total energies**: -0.93 eV/atom
# **Crystal system**: monoclinic
data_Sm6Co2AuCl3
_chemical_formula_sum 'Sm12 Co4 Au2 Cl6'
_cell_length_a 6.991
_cell_length_b 12.170
_cell_length_c 7.754
_cell_angle_alpha 90.00
_cell_angle_beta 107.11
_cell_angle_gamma 90.00
_symmetry_space_group_name_H-M 'C 1 2/m 1'
_symmetry_Int_Tables_number 12
_symmetry_space_group_name_Hall '-C 2y'
loop_
_atom_site_label
_atom_site_type_symbol
_atom_site_fract_x
_atom_site_fract_y
_atom_site_fract_z
Sm1 Sm 0.203 0.000 0.202
Sm2 Sm 0.249 0.319 0.204
Co1 Co 0.000 0.167 0.000
Au1 Au 0.000 0.500 0.000
Cl1 Cl 0.000 0.000 0.500
Cl2 Cl 0.000 0.327 0.500

***

Record 3
# BeCuTc (GGA-PBE, relaxed)
# **Energy of formation**: 188 meV/atom
# **E above lowest polymorph**: 146.3 meV/atom
# **Crystal system**: trigonal
data_BeCuTc
_chemical_formula_sum 'Be1 Cu1 Tc1'
_cell_length_a 4.0267
_cell_length_b 4.0267
_cell_length_c 2.5264
_cell_angle_alpha 90.00
_cell_angle_beta 90.00
_cell_angle_gamma 120.00
_symmetry_space_group_name_H-M 'P 3 m 1'
_symmetry_Int_Tables_number 156
_symmetry_space_group_name_Hall 'P 3 -2"'
loop_
_atom_site_label
_atom_site_type_symbol
_atom_site_fract_x
_atom_site_fract_y
_atom_site_fract_z
Be1 Be 0.0000 0.0000 0.0000
Cu1 Cu 0.6667 0.3333 0.0041
Tc1 Tc 0.3333 0.6667 0.5027

***

Record 4
# Hf2InGeW (GGA-PBE, relaxed)
# **Energy of formation**: 1906 meV/atom
# **Crystal system**: tetragonal
data_Hf2InGeW
_chemical_formula_sum 'Hf2 In1 Ge1 W1'
_cell_length_a 5.215
_cell_length_b 5.215
_cell_length_c 4.660
_cell_angle_alpha 90.00
_cell_angle_beta 90.00
_cell_angle_gamma 90.00
_symmetry_space_group_name_H-M 'P 4/m m m'
_symmetry_Int_Tables_number 123
_symmetry_space_group_name_Hall '-P 4 2'
loop_
_atom_site_label
_atom_site_type_symbol
_atom_site_fract_x
_atom_site_fract_y
_atom_site_fract_z
Hf1 Hf 0.000 0.500 0.000
In1 In 0.000 0.000 0.000
Ge1 Ge 0.000 0.000 0.500
W1 W 0.500 0.500 0.500

***

Record 5
# Hf2TiTlC (GGA-PBE, relaxed)
# **Energy of formation**: -383 meV/atom
# **Crystal system**: tetragonal
data_Hf2TiTlC
_chemical_formula_sum 'Hf2 Ti1 Tl1 C1'
_cell_length_a 4.532
_cell_length_b 4.532
_cell_length_c 4.272
_cell_angle_alpha 90.00
_cell_angle_beta 90.00
_cell_angle_gamma 90.00
_symmetry_space_group_name_H-M 'P 4/m m m'
_symmetry_Int_Tables_number 123
_symmetry_space_group_name_Hall '-P 4 2'
loop_
_atom_site_label
_atom_site_type_symbol
_atom_site_fract_x
_atom_site_fract_y
_atom_site_fract_z
Hf1 Hf 0.000 0.500 0.000
Ti1 Ti 0.000 0.000 0.500
Tl1 Tl 0.500 0.500 0.500
C1 C 0.000 0.000 0.000

***

Record 6
# Pu3In2Pt3 (GGA-PBE, relaxed)
# **Energy of formation**: -610 meV/atom
# **Crystal system**: hexagonal
data_Pu3In2Pt3
_chemical_formula_sum 'Pu6 In4 Pt6'
_cell_length_a 8.3805
_cell_length_b 8.3805
_cell_length_c 5.9106
_cell_angle_alpha 90.00
_cell_angle_beta 90.00
_cell_angle_gamma 120.00
_symmetry_space_group_name_H-M 'P 63/m c m'
_symmetry_Int_Tables_number 193
_symmetry_space_group_name_Hall '-P 6c 2'
loop_
_atom_site_label
_atom_site_type_symbol
_atom_site_fract_x
_atom_site_fract_y
_atom_site_fract_z
Pu1 Pu 0.0000 0.2638 0.2500
In1 In 0.3333 0.6667 0.0000
Pt1 Pt 0.0000 0.3921 0.7500